No. 1
DFT (PBE) results for crystalline Tb4CBr2N at its relaxed geometry.

a = 6.3311 Å, b = 3.6584 Å, c = 7.4140 Å
α = 90.00°, β = 106.72°, γ = 90.00°
With the nearest neighbours (Å) after each atom.
Positions (direct):
1 Tb 0.2242 0.0000 0.1763  2 N 2.45, 1 C 2.46
2 Tb 0.2711 0.5000 0.8219  1 N 2.45, 2 C 2.47
3 Tb 0.7289 0.5000 0.1781  1 N 2.45, 2 C 2.47
4 Tb 0.7758 0.0000 0.8237  2 N 2.45, 1 C 2.46
5 C 0.5000 0.0000 0.0000  6 Tb 2.46-2.47
6 Br 0.0000 0.0000 0.5000  6 Tb 3.10-3.12
7 Br 0.5000 0.5000 0.5000  6 Tb 3.12-3.13
8 N 0.0000 0.5000 0.0000  6 Tb 2.45

ρ	8.295	Mg/m³
space group	P2/m (10)
ΔE_f (raw)	-1.20	eV per atom
magnetic moment	0.00	μB per formula unit

---

No. 2
DFT (PBE) results for crystalline TbPm2Sc at its relaxed geometry.

a = 7.9405 Å, b = 7.9405 Å, c = 7.9405 Å
α = 90.00°, β = 90.00°, γ = 90.00°
With the nearest neighbours (Å) after each atom.
Positions (direct):
1 Tb 0.0000 0.0000 0.0000  8 Pm 3.44
2 Tb 0.0000 0.5000 0.5000  8 Pm 3.44
3 Tb 0.5000 0.0000 0.5000  8 Pm 3.44
4 Tb 0.5000 0.5000 0.0000  8 Pm 3.44
5 Pm 0.2500 0.2500 0.2500  4 Tb 3.44, 4 Sc 3.44
6 Pm 0.2500 0.2500 0.7500  4 Tb 3.44, 4 Sc 3.44
7 Pm 0.2500 0.7500 0.2500  4 Tb 3.44, 4 Sc 3.44
8 Pm 0.2500 0.7500 0.7500  4 Tb 3.44, 4 Sc 3.44
9 Pm 0.7500 0.2500 0.2500  4 Tb 3.44, 4 Sc 3.44
10 Pm 0.7500 0.2500 0.7500  4 Tb 3.44, 4 Sc 3.44
11 Pm 0.7500 0.7500 0.2500  4 Tb 3.44, 4 Sc 3.44
12 Pm 0.7500 0.7500 0.7500  4 Tb 3.44, 4 Sc 3.44
13 Sc 0.0000 0.0000 0.5000  8 Pm 3.44
14 Sc 0.0000 0.5000 0.0000  8 Pm 3.44
15 Sc 0.5000 0.0000 0.0000  8 Pm 3.44
16 Sc 0.5000 0.5000 0.5000  8 Pm 3.44

ρ	6.552	Mg/m³
space group	Fm-3m (225)
polymorph energy (0 for the lowest one)	74.7	meV per atom
magnetic moment	0.00	μB per formula unit
ΔH_f (0 K)	0.113	eV per atom